! CaNd2Pd3 (PBE, relaxed); values from VASP
! - ΔE_f: -0.6142 eV per atom
! - Fermi-level density of states: 7.0 states/eV/cell
! - V: 156.3 Å³/f.u.
! - Total magnetization: 0.00 μB/f.u.
! - Space-group type: C2/c
&SYSTEM
  ibrav = 0, nat = 12, ntyp = 3
/
ATOMIC_SPECIES
Pd 106.42 Pd.upf
Ca 40.08 Ca.upf
Nd 144.24 Nd.upf
CELL_PARAMETERS angstrom
5.917 0.000 0.000
0.000 8.342 0.001
-2.958 -2.088 6.332
ATOMIC_POSITIONS crystal
Pd 0.832 0.915 0.662
Pd 0.830 0.415 0.662
Pd 0.168 0.085 0.338
Pd 0.508 0.250 0.000
Pd 0.170 0.585 0.338
Pd 0.492 0.750 0.000
Ca 0.007 0.250 0.000
Ca 0.993 0.750 0.000
Nd 0.332 0.417 0.666
Nd 0.668 0.583 0.334
Nd 0.666 0.083 0.334
Nd 0.334 0.917 0.666